Compound: BeCoReO2
Source: the Alexandria database
Functional: PBE with a Hubbard U
Structure: optimized geometry

The volume is 10.9 Å³/atom. As for the density of states at the Fermi level: 4.825 states/eV/cell. As for the total energy: -5.6645 eV/atom. The crystal system is tetragonal.

It has space group P4/mmm (No. 123), with a = 3.396 Å, b = 3.396 Å, c = 4.745 Å, α = 90.00°, β = 90.00° and γ = 90.00°. The distinct sites, in fractional coordinates, are Be at (0.000, 0.000, 0.000), Co at (0.500, 0.500, 0.500), Re at (0.000, 0.000, 0.500) and O at (0.000, 0.500, 0.000).